## 1
A relaxed structure of NaLa2CuGe, computed with PBE-GGA.

The calculated volume comes out at 30.5 Å³/atom.

The space group is P4/mmm (No. 123) and the conventional cell measures 5.6775, 5.6775 and 4.7301 Å, with angles of 90.00, 90.00 and 90.00 degrees. The asymmetric unit holds Na at (0.0000, 0.0000, 0.0000), La at (0.0000, 0.5000, 0.0000), Cu at (0.5000, 0.5000, 0.5000) and Ge at (0.0000, 0.0000, 0.5000).

---

## 2
A relaxed structure of NaLa2CuGe, computed with PBE-GGA.

The calculated volume comes out at 35.2 Å³/atom.

The space group is P4/mmm (No. 123) and the conventional cell measures 5.7935, 5.7935 and 5.2424 Å, with angles of 90.00, 90.00 and 90.00 degrees. The asymmetric unit holds Na at (0.0000, 0.0000, 0.0000), La at (0.0000, 0.5000, 0.5000), Cu at (0.5000, 0.5000, 0.0000) and Ge at (0.0000, 0.0000, 0.5000).

---

It is 2 that is the most stable of them.

---

## 1
A relaxed structure of Li4CuGe, computed with PBE-GGA.

The calculated volume comes out at 14.0 Å³/atom.

The space group is Cmcm (No. 63) and the conventional cell measures 5.0599, 15.1605 and 4.3835 Å, with angles of 90.00, 90.00 and 90.00 degrees. The asymmetric unit holds Li at (0.2420, 0.0416, 0.2500), Li at (0.2484, 0.2080, 0.2500), Cu at (0.0000, 0.3799, 0.2500) and Ge at (0.0000, 0.1287, 0.7500).

---

## 2
A relaxed structure of Li4CuGe, computed with PBE-GGA.

The calculated volume comes out at 16.2 Å³/atom.

The space group is C2/m (No. 12) and the conventional cell measures 13.6390, 6.4509 and 4.6894 Å, with angles of 90.00, 109.84 and 90.00 degrees. The asymmetric unit holds Li at (0.0000, 0.1760, 0.0000), Li at (0.1417, 0.2376, 0.6416), Li at (0.1838, 0.5000, 0.1834), Cu at (0.9999, 0.5000, 0.2540) and Ge at (0.1896, 0.0000, 0.1916).

---

It is 1 that is the most stable of them.

---

## 1
A relaxed structure of Li2CuGe2, computed with PBE-GGA.

The calculated volume comes out at 16.3 Å³/atom.

The space group is P4/mbm (No. 127) and the conventional cell measures 6.2838, 6.2838 and 4.1295 Å, with angles of 90.00, 90.00 and 90.00 degrees. The asymmetric unit holds Li at (0.1625, 0.3375, 0.0000), Cu at (0.0000, 0.0000, 0.5000) and Ge at (0.1407, 0.6407, 0.5000).

---

## 2
A relaxed structure of Li2CuGe2, computed with PBE-GGA.

The calculated volume comes out at 16.2 Å³/atom.

The space group is C2/m (No. 12) and the conventional cell measures 9.3242, 4.2537 and 8.6331 Å, with angles of 90.00, 109.21 and 90.00 degrees. The asymmetric unit holds Li at (0.0439, 0.0000, 0.3539), Li at (0.1644, 0.0000, 0.0752), Cu at (0.2320, 0.5000, 0.3446), Ge at (0.0191, 0.5000, 0.8611) and Ge at (0.1372, 0.5000, 0.6046).

---

## 3
A relaxed structure of Li2CuGe2, computed with PBE-GGA.

The calculated volume comes out at 14.8 Å³/atom.

The space group is C2/m (No. 12) and the conventional cell measures 7.4421, 4.2411 and 5.3742 Å, with angles of 90.00, 119.10 and 90.00 degrees. The asymmetric unit holds Li at (0.2020, 0.0000, 0.1005), Cu at (0.0000, 0.0000, 0.5000) and Ge at (0.0980, 0.5000, 0.2894).

---

It is 1 that is the most stable of them.

---

## 1
A relaxed structure of LiCu4Ge2, computed with PBE-GGA.

The calculated volume comes out at 15.6 Å³/atom.

The space group is I4/mmm (No. 139) and the conventional cell measures 3.5603, 3.5603 and 17.2189 Å, with angles of 90.00, 90.00 and 90.00 degrees. The asymmetric unit holds Li at (0.0000, 0.0000, 0.0000), Cu at (0.0000, 0.0000, 0.1468), Cu at (0.0000, 0.5000, 0.2500) and Ge at (0.0000, 0.0000, 0.3795).

---

## 2
A relaxed structure of LiCu4Ge2, computed with PBE-GGA.

The calculated volume comes out at 13.7 Å³/atom.

The space group is Cmce (No. 64) and the conventional cell measures 4.2246, 7.3105 and 12.4061 Å, with angles of 90.00, 90.00 and 90.00 degrees. The asymmetric unit holds Li at (0.0000, 0.0000, 0.0000), Cu at (0.0000, 0.0085, 0.1968), Cu at (0.0000, 0.1552, 0.6057) and Ge at (0.0000, 0.1769, 0.3806).

---

It is 2 that is the most stable of them.

---

## 1
A relaxed structure of LiCu2Ge2, computed with PBE-GGA.

The calculated volume comes out at 17.6 Å³/atom.

The space group is I4/mmm (No. 139) and the conventional cell measures 4.2484, 4.2484 and 9.7758 Å, with angles of 90.00, 90.00 and 90.00 degrees. The asymmetric unit holds Li at (0.0000, 0.0000, 0.0000), Cu at (0.0000, 0.0000, 0.3770) and Ge at (0.0000, 0.5000, 0.2500).

---

## 2
A relaxed structure of LiCu2Ge2, computed with PBE-GGA.

The calculated volume comes out at 16.3 Å³/atom.

The space group is I4/mmm (No. 139) and the conventional cell measures 3.8823, 3.8823 and 10.8092 Å, with angles of 90.00, 90.00 and 90.00 degrees. The asymmetric unit holds Li at (0.0000, 0.0000, 0.0000), Cu at (0.0000, 0.5000, 0.2500) and Ge at (0.0000, 0.0000, 0.3875).

---

## 3
A relaxed structure of LiCu2Ge2, computed with PBE-GGA.

The calculated volume comes out at 15.5 Å³/atom.

The space group is P4/mbm (No. 127) and the conventional cell measures 7.3588, 7.3588 and 2.8658 Å, with angles of 90.00, 90.00 and 90.00 degrees. The asymmetric unit holds Li at (0.0000, 0.0000, 0.0000), Cu at (0.1256, 0.3744, 0.0000) and Ge at (0.1718, 0.6718, 0.5000).

---

It is 2 that is the most stable of them.

---

## 1
A relaxed structure of Li2Cu2Ge, computed with PBE-GGA.

The calculated volume comes out at 13.5 Å³/atom.

The space group is P4/mbm (No. 127) and the conventional cell measures 6.8812, 6.8812 and 2.8547 Å, with angles of 90.00, 90.00 and 90.00 degrees. The asymmetric unit holds Li at (0.1464, 0.3536, 0.0000), Cu at (0.1451, 0.6451, 0.5000) and Ge at (0.0000, 0.0000, 0.0000).

---

## 2
A relaxed structure of Li2Cu2Ge, computed with PBE-GGA.

The calculated volume comes out at 15.3 Å³/atom.

The space group is I4/mmm (No. 139) and the conventional cell measures 3.5469, 3.5469 and 12.1394 Å, with angles of 90.00, 90.00 and 90.00 degrees. The asymmetric unit holds Li at (0.0000, 0.5000, 0.2500), Cu at (0.0000, 0.0000, 0.0969) and Ge at (0.0000, 0.0000, 0.5000).

---

## 3
A relaxed structure of Li2Cu2Ge, computed with PBE-GGA.

The calculated volume comes out at 14.9 Å³/atom.

The space group is P2_1/m (No. 11) and the conventional cell measures 5.1038, 4.2437 and 7.1355 Å, with angles of 90.00, 104.88 and 90.00 degrees. The asymmetric unit holds Li at (0.0823, 0.2500, 0.3951), Li at (0.1043, 0.2500, 0.8770), Cu at (0.3801, 0.7500, 0.0585), Cu at (0.3914, 0.7500, 0.4002) and Ge at (0.4680, 0.7500, 0.7462).

---

## 4
A relaxed structure of Li2Cu2Ge, computed with PBE-GGA.

The calculated volume comes out at 14.1 Å³/atom.

The space group is P4/mbm (No. 127) and the conventional cell measures 6.4867, 6.4867 and 3.3476 Å, with angles of 90.00, 90.00 and 90.00 degrees. The asymmetric unit holds Li at (0.1655, 0.3345, 0.0000), Cu at (0.1359, 0.6359, 0.5000) and Ge at (0.0000, 0.0000, 0.5000).

---

It is 3 that is the most stable of them.

---

## 1
A relaxed structure of Li2Cu6Ge, computed with PBE-GGA.

The calculated volume comes out at 12.4 Å³/atom.

The space group is C2/m (No. 12) and the conventional cell measures 7.1968, 4.1034 and 7.5483 Å, with angles of 90.00, 91.28 and 90.00 degrees. The asymmetric unit holds Li at (0.1672, 0.0000, 0.2217), Cu at (0.0003, 0.5000, 0.3366), Cu at (0.1663, 0.0000, 0.5515), Cu at (0.1667, 0.0000, 0.8852) and Ge at (0.0000, 0.5000, 0.0000).

---

## 2
A relaxed structure of Li2Cu6Ge, computed with PBE-GGA.

The calculated volume comes out at 14.1 Å³/atom.

The space group is C2/m (No. 12) and the conventional cell measures 8.7910, 5.0703 and 5.6742 Å, with angles of 90.00, 90.14 and 90.00 degrees. The asymmetric unit holds Li at (0.1670, 0.0000, 0.1191), Cu at (0.0864, 0.2391, 0.6710), Cu at (0.1744, 0.5000, 0.3302) and Ge at (0.0000, 0.5000, 0.0000).

---

It is 1 that is the most stable of them.

---

## 1
A relaxed structure of LiCuGePt, computed with PBE-GGA.

The calculated volume comes out at 13.6 Å³/atom.

The space group is F-43m (No. 216) and the conventional cell measures 6.0210, 6.0210 and 6.0210 Å, with angles of 90.00, 90.00 and 90.00 degrees. The asymmetric unit holds Li at (0.0000, 0.0000, 0.0000), Cu at (0.2500, 0.2500, 0.7500), Ge at (0.0000, 0.0000, 0.5000) and Pt at (0.2500, 0.2500, 0.2500).

---

## 2
A relaxed structure of LiCuGePt, computed with PBE-GGA.

The calculated volume comes out at 13.6 Å³/atom.

The space group is I-4m2 (No. 119) and the conventional cell measures 3.8097, 3.8097 and 7.4935 Å, with angles of 90.00, 90.00 and 90.00 degrees. The asymmetric unit holds Li at (0.0000, 0.0000, 0.0000), Cu at (0.0000, 0.5000, 0.2500), Ge at (0.0000, 0.5000, 0.7500) and Pt at (0.0000, 0.0000, 0.5000).

---

It is 2 that is the most stable of them.

---

## 1
A relaxed structure of SrLi2CuGe, computed with PBE-GGA.

The calculated volume comes out at 22.3 Å³/atom.

The space group is P4/mmm (No. 123) and the conventional cell measures 4.8828, 4.8828 and 4.6739 Å, with angles of 90.00, 90.00 and 90.00 degrees. The asymmetric unit holds Sr at (0.0000, 0.0000, 0.0000), Li at (0.0000, 0.5000, 0.5000), Cu at (0.5000, 0.5000, 0.0000) and Ge at (0.5000, 0.5000, 0.5000).

---

## 2
A relaxed structure of SrLi2CuGe, computed with PBE-GGA.

The calculated volume comes out at 31.4 Å³/atom.

The space group is P4/mmm (No. 123) and the conventional cell measures 5.5731, 5.5731 and 5.0616 Å, with angles of 90.00, 90.00 and 90.00 degrees. The asymmetric unit holds Sr at (0.0000, 0.0000, 0.0000), Li at (0.0000, 0.5000, 0.0000), Cu at (0.0000, 0.0000, 0.5000) and Ge at (0.5000, 0.5000, 0.5000).

---

## 3
A relaxed structure of SrLi2CuGe, computed with PBE-GGA.

The calculated volume comes out at 21.9 Å³/atom.

The space group is P4/mmm (No. 123) and the conventional cell measures 4.8701, 4.8701 and 4.6070 Å, with angles of 90.00, 90.00 and 90.00 degrees. The asymmetric unit holds Sr at (0.0000, 0.0000, 0.0000), Li at (0.0000, 0.5000, 0.5000), Cu at (0.5000, 0.5000, 0.5000) and Ge at (0.5000, 0.5000, 0.0000).

---

It is 3 that is the most stable of them.